Record 1
Material: La3NdTm6
Method: DFT, GGA-PBE
State: optimized geometry

## Properties
energy of formation from the pure elements: 0.313 eV/atom
volume: 327.9 Å³/cell
ρ: 8.0 g/cm³
space-group type: R3
energy above the most stable polymorph in this dataset: 87.6 meV per atom
size of the total moment: 0.0 μB per formula unit
DOS(E_F): 23.18 states/eV/f.u.

Unit cell a=6.900 b=6.900 c=6.900 alpha=91.86 beta=91.86 gamma=91.86
Element x y z (fractional)
La 0.000 0.000 0.000
La 0.249 0.249 0.249
La 0.497 0.497 0.497
Nd 0.748 0.748 0.748
Tm 0.169 0.822 0.499
Tm 0.322 0.669 0.994
Tm 0.499 0.169 0.822
Tm 0.669 0.994 0.322
Tm 0.822 0.499 0.169
Tm 0.994 0.322 0.669


Record 2
Material: La12Nd5Tm
Method: DFT, GGA-PBE
State: optimized geometry

## Properties
energy of formation from the pure elements: 0.017 eV/atom
volume: 646.7 Å³/cell
ρ: 6.6 g/cm³
space-group type: C2/m
size of the total moment: 0.0 μB per formula unit
DOS(E_F): 33.77 states/eV/f.u.

Unit cell a=11.103 b=11.103 c=6.422 alpha=106.58 beta=106.58 gamma=59.88
Element x y z (fractional)
La 0.002 0.666 0.168
La 0.164 0.502 0.668
La 0.166 0.834 0.000
La 0.329 0.671 0.500
La 0.334 0.998 0.832
La 0.498 0.836 0.332
La 0.502 0.164 0.668
La 0.666 0.002 0.168
La 0.671 0.329 0.500
La 0.834 0.166 0.000
La 0.836 0.498 0.332
La 0.998 0.334 0.832
Nd 0.166 0.166 0.335
Nd 0.333 0.333 0.168
Nd 0.500 0.500 0.000
Nd 0.667 0.667 0.832
Nd 0.834 0.834 0.665
Tm 0.000 0.000 0.500


Record 3
Material: LaNdTm
Method: DFT, GGA-PBE
State: optimized geometry

## Properties
energy of formation from the pure elements: 0.034 eV/atom
volume: 102.7 Å³/cell
ρ: 7.3 g/cm³
space-group type: I4mm
energy above the most stable polymorph in this dataset: 8.1 meV per atom
size of the total moment: 0.0 μB per formula unit
DOS(E_F): 5.18 states/eV/f.u.

Unit cell a=8.078 b=8.078 c=8.078 alpha=153.79 beta=153.79 gamma=37.40
Element x y z (fractional)
La 0.000 0.000 0.000
Nd 0.673 0.673 0.000
Tm 0.334 0.334 0.000


Record 4
Material: LaNd7Tm2
Method: DFT, GGA-PBE
State: optimized geometry

## Properties
energy of formation from the pure elements: 0.629 eV/atom
volume: 422.0 Å³/cell
ρ: 5.8 g/cm³
space-group type: Cmmm
energy above the most stable polymorph in this dataset: 607.3 meV per atom
size of the total moment: 0.0 μB per formula unit
DOS(E_F): 14.23 states/eV/f.u.

Unit cell a=9.222 b=9.222 c=5.819 alpha=90.00 beta=90.00 gamma=121.50
Element x y z (fractional)
La 0.000 0.000 0.000
Nd 0.062 0.298 0.500
Nd 0.232 0.768 0.000
Nd 0.298 0.062 0.500
Nd 0.500 0.500 0.500
Nd 0.702 0.938 0.500
Nd 0.768 0.232 0.000
Nd 0.938 0.702 0.500
Tm 0.296 0.704 0.500
Tm 0.704 0.296 0.500


Record 5
Material: La8Nd3Tm2
Method: DFT, GGA-PBE
State: optimized geometry

## Properties
energy of formation from the pure elements: 0.141 eV/atom
volume: 464.8 Å³/cell
ρ: 6.7 g/cm³
space-group type: C2/m
energy above the most stable polymorph in this dataset: 0.0 meV per atom
size of the total moment: 0.0 μB per formula unit
DOS(E_F): 22.10 states/eV/f.u.

Unit cell a=9.001 b=9.001 c=6.261 alpha=106.74 beta=106.74 gamma=83.15
Element x y z (fractional)
La 0.052 0.052 0.296
La 0.066 0.582 0.826
La 0.355 0.355 0.445
La 0.418 0.934 0.174
La 0.582 0.066 0.826
La 0.645 0.645 0.555
La 0.934 0.418 0.174
La 0.948 0.948 0.704
Nd 0.252 0.748 0.500
Nd 0.500 0.500 0.000
Nd 0.748 0.252 0.500
Tm 0.212 0.212 0.845
Tm 0.788 0.788 0.155


Record 6
Material: La2Nd5Tm3
Method: DFT, GGA-PBE
State: optimized geometry

## Properties
energy of formation from the pure elements: 0.180 eV/atom
volume: 694.9 Å³/cell
ρ: 7.2 g/cm³
space-group type: C2/c
energy above the most stable polymorph in this dataset: 0.0 meV per atom
size of the total moment: 0.0 μB per formula unit
DOS(E_F): 16.78 states/eV/f.u.

Unit cell a=9.606 b=9.606 c=9.702 alpha=108.89 beta=108.89 gamma=109.94
Element x y z (fractional)
La 0.022 0.268 0.052
La 0.268 0.022 0.552
La 0.732 0.978 0.448
La 0.978 0.732 0.948
Nd 0.153 0.384 0.777
Nd 0.229 0.771 0.750
Nd 0.268 0.732 0.250
Nd 0.384 0.153 0.277
Nd 0.467 0.533 0.250
Nd 0.533 0.467 0.750
Nd 0.616 0.847 0.723
Nd 0.732 0.268 0.750
Nd 0.771 0.229 0.250
Nd 0.847 0.616 0.223
Tm 0.024 0.976 0.750
Tm 0.222 0.462 0.454
Tm 0.462 0.222 0.954
Tm 0.538 0.778 0.046
Tm 0.778 0.538 0.546
Tm 0.976 0.024 0.250


Record 7
Material: La4NdTm
Method: DFT, GGA-PBE
State: optimized geometry

## Properties
energy of formation from the pure elements: 0.170 eV/atom
volume: 427.5 Å³/cell
ρ: 6.7 g/cm³
space-group type: C2/c
energy above the most stable polymorph in this dataset: 110.6 meV per atom
size of the total moment: 0.0 μB per formula unit
DOS(E_F): 9.20 states/eV/f.u.

Unit cell a=8.411 b=8.411 c=6.675 alpha=106.26 beta=106.26 gamma=75.46
Element x y z (fractional)
La 0.153 0.803 0.000
La 0.179 0.349 0.972
La 0.197 0.847 0.500
La 0.349 0.179 0.472
La 0.651 0.821 0.528
La 0.803 0.153 0.500
La 0.821 0.651 0.028
La 0.847 0.197 0.000
Nd 0.000 0.500 0.500
Nd 0.500 0.000 0.000
Tm 0.463 0.537 0.750
Tm 0.537 0.463 0.250


Record 8
Material: La2NdTm8
Method: DFT, GGA-PBE
State: optimized geometry

## Properties
energy of formation from the pure elements: 0.038 eV/atom
volume: 350.2 Å³/cell
ρ: 8.4 g/cm³
space-group type: C2/m
energy above the most stable polymorph in this dataset: 0.0 meV per atom
size of the total moment: 0.0 μB per formula unit
DOS(E_F): 17.42 states/eV/f.u.

Unit cell a=9.400 b=9.400 c=7.946 alpha=104.69 beta=104.69 gamma=31.13
Element x y z (fractional)
La 0.228 0.228 0.137
La 0.772 0.772 0.863
Nd 0.500 0.500 0.500
Tm 0.044 0.044 0.226
Tm 0.135 0.135 0.676
Tm 0.319 0.319 0.594
Tm 0.411 0.411 0.045
Tm 0.589 0.589 0.955
Tm 0.681 0.681 0.406
Tm 0.865 0.865 0.324
Tm 0.956 0.956 0.774


Record 9
Material: La4Nd7Tm
Method: DFT, GGA-PBE
State: optimized geometry

## Properties
energy of formation from the pure elements: 0.230 eV/atom
volume: 440.3 Å³/cell
ρ: 6.5 g/cm³
space-group type: C2/m
energy above the most stable polymorph in this dataset: 210.2 meV per atom
size of the total moment: 0.0 μB per formula unit
DOS(E_F): 20.94 states/eV/f.u.

Unit cell a=6.862 b=6.862 c=13.119 alpha=114.18 beta=114.18 gamma=53.32
Element x y z (fractional)
La 0.053 0.053 0.337
La 0.364 0.364 0.222
La 0.636 0.636 0.778
La 0.947 0.947 0.663
Nd 0.000 0.000 0.000
Nd 0.210 0.210 0.923
Nd 0.266 0.266 0.694
Nd 0.363 0.363 0.496
Nd 0.637 0.637 0.504
Nd 0.734 0.734 0.306
Nd 0.790 0.790 0.077
Tm 0.500 0.500 0.000


Record 10
Material: La7Nd2Tm3
Method: DFT, GGA-PBE
State: optimized geometry

## Properties
energy of formation from the pure elements: 0.058 eV/atom
volume: 417.9 Å³/cell
ρ: 7.0 g/cm³
space-group type: P2/m
size of the total moment: 0.0 μB per formula unit
DOS(E_F): 16.98 states/eV/f.u.

Unit cell a=6.554 b=3.597 c=17.803 alpha=90.00 beta=95.44 gamma=90.00
Element x y z (fractional)
La 0.000 0.000 0.000
La 0.231 0.500 0.172
La 0.263 0.500 0.491
La 0.281 0.000 0.835
La 0.719 0.000 0.165
La 0.737 0.500 0.509
La 0.769 0.500 0.828
Nd 0.059 0.500 0.670
Nd 0.941 0.500 0.330
Tm 0.459 0.000 0.339
Tm 0.500 0.500 0.000
Tm 0.541 0.000 0.661


Record 11
Material: LaNd7Tm12
Method: DFT, GGA-PBE
State: optimized geometry

## Properties
energy of formation from the pure elements: 0.229 eV/atom
volume: 661.6 Å³/cell
ρ: 8.0 g/cm³
space-group type: R-3
size of the total moment: 0.0 μB per formula unit
DOS(E_F): 36.70 states/eV/f.u.

Unit cell a=8.715 b=8.715 c=8.715 alpha=88.94 beta=88.94 gamma=88.94
Element x y z (fractional)
La 0.000 0.000 0.000
Nd 0.001 0.122 0.640
Nd 0.122 0.640 0.001
Nd 0.360 0.999 0.878
Nd 0.500 0.500 0.500
Nd 0.640 0.001 0.122
Nd 0.878 0.360 0.999
Nd 0.999 0.878 0.360
Tm 0.116 0.446 0.348
Tm 0.224 0.758 0.631
Tm 0.242 0.369 0.776
Tm 0.348 0.116 0.446
Tm 0.369 0.776 0.242
Tm 0.446 0.348 0.116
Tm 0.554 0.652 0.884
Tm 0.631 0.224 0.758
Tm 0.652 0.884 0.554
Tm 0.758 0.631 0.224
Tm 0.776 0.242 0.369
Tm 0.884 0.554 0.652


Record 12
Material: LaNdTm6
Method: DFT, GGA-PBE
State: optimized geometry

## Properties
energy of formation from the pure elements: 0.374 eV/atom
volume: 280.3 Å³/cell
ρ: 7.7 g/cm³
space-group type: C2/m
energy above the most stable polymorph in this dataset: 0.0 meV per atom
size of the total moment: 0.0 μB per formula unit
DOS(E_F): 12.17 states/eV/f.u.

Unit cell a=6.158 b=6.158 c=8.465 alpha=102.80 beta=102.80 gamma=64.80
Element x y z (fractional)
La 0.000 0.000 0.000
Nd 0.000 0.000 0.500
Tm 0.059 0.542 0.203
Tm 0.379 0.379 0.581
Tm 0.458 0.941 0.797
Tm 0.542 0.059 0.203
Tm 0.621 0.621 0.419
Tm 0.941 0.458 0.797


Record 13
Material: La2NdTm8
Method: DFT, GGA-PBE
State: optimized geometry

## Properties
energy of formation from the pure elements: 0.123 eV/atom
volume: 356.0 Å³/cell
ρ: 8.3 g/cm³
space-group type: Immm
energy above the most stable polymorph in this dataset: 85.6 meV per atom
size of the total moment: 0.0 μB per formula unit
DOS(E_F): 13.95 states/eV/f.u.

Unit cell a=9.395 b=9.395 c=9.395 alpha=145.99 beta=129.11 gamma=62.63
Element x y z (fractional)
La 0.201 0.201 0.000
La 0.799 0.799 0.000
Nd 0.500 0.500 0.000
Tm 0.070 0.363 0.707
Tm 0.208 0.000 0.208
Tm 0.340 0.840 0.500
Tm 0.344 0.637 0.707
Tm 0.656 0.363 0.293
Tm 0.660 0.160 0.500
Tm 0.792 0.000 0.792
Tm 0.930 0.637 0.293


Record 14
Material: La4Nd3Tm2
Method: DFT, GGA-PBE
State: optimized geometry

## Properties
energy of formation from the pure elements: 0.025 eV/atom
volume: 314.1 Å³/cell
ρ: 7.0 g/cm³
space-group type: C2/m
energy above the most stable polymorph in this dataset: 0.0 meV per atom
size of the total moment: 0.0 μB per formula unit
DOS(E_F): 16.12 states/eV/f.u.

Unit cell a=8.215 b=8.215 c=8.149 alpha=107.42 beta=107.42 gamma=37.01
Element x y z (fractional)
La 0.055 0.055 0.329
La 0.277 0.277 0.671
La 0.723 0.723 0.329
La 0.945 0.945 0.671
Nd 0.388 0.388 0.330
Nd 0.500 0.500 0.000
Nd 0.612 0.612 0.670
Tm 0.168 0.168 0.999
Tm 0.832 0.832 0.001


Record 15
Material: La7Nd12Tm
Method: DFT, GGA-PBE
State: optimized geometry

## Properties
energy of formation from the pure elements: 0.181 eV/atom
volume: 727.8 Å³/cell
ρ: 6.6 g/cm³
space-group type: R-3m
energy above the most stable polymorph in this dataset: 0.0 meV per atom
size of the total moment: 0.0 μB per formula unit
DOS(E_F): 28.95 states/eV/f.u.

Unit cell a=10.429 b=10.429 c=10.429 alpha=113.21 beta=113.21 gamma=113.21
Element x y z (fractional)
La 0.000 0.000 0.000
La 0.073 0.418 0.418
La 0.418 0.073 0.418
La 0.418 0.418 0.073
La 0.582 0.582 0.927
La 0.582 0.927 0.582
La 0.927 0.582 0.582
Nd 0.000 0.285 0.715
Nd 0.000 0.715 0.285
Nd 0.163 0.163 0.487
Nd 0.163 0.487 0.163
Nd 0.285 0.000 0.715
Nd 0.285 0.715 0.000
Nd 0.487 0.163 0.163
Nd 0.513 0.837 0.837
Nd 0.715 0.000 0.285
Nd 0.715 0.285 0.000
Nd 0.837 0.513 0.837
Nd 0.837 0.837 0.513
Tm 0.500 0.500 0.500


Record 16
Material: LaNd8Tm2
Method: DFT, GGA-PBE
State: optimized geometry

## Properties
energy of formation from the pure elements: 0.107 eV/atom
volume: 384.4 Å³/cell
ρ: 7.0 g/cm³
space-group type: Immm
energy above the most stable polymorph in this dataset: 0.0 meV per atom
size of the total moment: 0.0 μB per formula unit
DOS(E_F): 16.59 states/eV/f.u.

Unit cell a=9.510 b=9.510 c=9.510 alpha=145.17 beta=127.62 gamma=64.45
Element x y z (fractional)
La 0.000 0.000 0.000
Nd 0.156 0.860 0.297
Nd 0.163 0.663 0.500
Nd 0.295 0.500 0.795
Nd 0.437 0.140 0.297
Nd 0.563 0.860 0.703
Nd 0.705 0.500 0.205
Nd 0.837 0.337 0.500
Nd 0.844 0.140 0.703
Tm 0.300 0.300 0.000
Tm 0.700 0.700 0.000


Record 17
Material: LaNdTm6
Method: DFT, GGA-PBE
State: optimized geometry

## Properties
energy of formation from the pure elements: 0.565 eV/atom
volume: 281.4 Å³/cell
ρ: 7.7 g/cm³
space-group type: R-3m
energy above the most stable polymorph in this dataset: 191.5 meV per atom
size of the total moment: 0.0 μB per formula unit
DOS(E_F): 11.50 states/eV/f.u.

Unit cell a=6.626 b=6.626 c=6.626 alpha=81.07 beta=81.07 gamma=81.07
Element x y z (fractional)
La 0.000 0.000 0.000
Nd 0.500 0.500 0.500
Tm 0.154 0.154 0.518
Tm 0.154 0.518 0.154
Tm 0.482 0.846 0.846
Tm 0.518 0.154 0.154
Tm 0.846 0.482 0.846
Tm 0.846 0.846 0.482


Record 18
Material: La12Nd6Tm
Method: DFT, GGA-PBE
State: optimized geometry

## Properties
energy of formation from the pure elements: 0.257 eV/atom
volume: 693.8 Å³/cell
ρ: 6.5 g/cm³
space-group type: R-3m
energy above the most stable polymorph in this dataset: 150.9 meV per atom
size of the total moment: 0.0 μB per formula unit
DOS(E_F): 31.18 states/eV/f.u.

Unit cell a=10.006 b=10.006 c=10.006 alpha=111.88 beta=111.88 gamma=111.88
Element x y z (fractional)
La 0.000 0.377 0.623
La 0.000 0.623 0.377
La 0.226 0.226 0.584
La 0.226 0.584 0.226
La 0.377 0.000 0.623
La 0.377 0.623 0.000
La 0.416 0.774 0.774
La 0.584 0.226 0.226
La 0.623 0.000 0.377
La 0.623 0.377 0.000
La 0.774 0.416 0.774
La 0.774 0.774 0.416
Nd 0.019 0.772 0.772
Nd 0.228 0.228 0.981
Nd 0.228 0.981 0.228
Nd 0.772 0.019 0.772
Nd 0.772 0.772 0.019
Nd 0.981 0.228 0.228
Tm 0.500 0.500 0.500


Record 19
Material: LaNd2Tm8
Method: DFT, GGA-PBE
State: optimized geometry

## Properties
energy of formation from the pure elements: 0.177 eV/atom
volume: 356.8 Å³/cell
ρ: 8.3 g/cm³
space-group type: C2/m
energy above the most stable polymorph in this dataset: 32.4 meV per atom
size of the total moment: 0.0 μB per formula unit
DOS(E_F): 17.60 states/eV/f.u.

Unit cell a=8.826 b=8.826 c=6.683 alpha=98.85 beta=98.85 gamma=44.02
Element x y z (fractional)
La 0.000 0.000 0.000
Nd 0.242 0.242 0.295
Nd 0.758 0.758 0.705
Tm 0.176 0.646 0.590
Tm 0.207 0.207 0.790
Tm 0.354 0.824 0.410
Tm 0.412 0.412 0.095
Tm 0.588 0.588 0.905
Tm 0.646 0.176 0.590
Tm 0.793 0.793 0.210
Tm 0.824 0.354 0.410


Record 20
Material: LaNd6Tm2
Method: DFT, GGA-PBE
State: optimized geometry

## Properties
energy of formation from the pure elements: 0.193 eV/atom
volume: 309.2 Å³/cell
ρ: 7.2 g/cm³
space-group type: P-3m1
energy above the most stable polymorph in this dataset: 16.4 meV per atom
size of the total moment: 1.0 μB per formula unit
DOS(E_F): 14.68 states/eV/f.u.

Unit cell a=7.585 b=7.585 c=6.207 alpha=90.00 beta=90.00 gamma=120.00
Element x y z (fractional)
La 0.000 0.000 0.000
Nd 0.187 0.374 0.711
Nd 0.187 0.813 0.711
Nd 0.374 0.187 0.289
Nd 0.626 0.813 0.711
Nd 0.813 0.187 0.289
Nd 0.813 0.626 0.289
Tm 0.333 0.667 0.220
Tm 0.667 0.333 0.780